# 1
! Na2Ac2NpS6 | the Alexandria database | PBE | relaxed; values from VASP
! Crystal system ... monoclinic
! Formation energy (no corrections) ... -1.633 eV/atom
&SYSTEM
  ibrav = 0, nat = 11, ntyp = 4
/
ATOMIC_SPECIES
Na 22.99 Na.upf
Ac 227.00 Ac.upf
Np 237.00 Np.upf
S 32.06 S.upf
CELL_PARAMETERS angstrom
3.749 -6.399 0.000
3.749 6.399 0.000
-2.243 0.000 6.684
ATOMIC_POSITIONS crystal
Na 0.157 0.843 0.000
Na 0.843 0.157 0.000
Ac 0.336 0.664 0.500
Ac 0.664 0.336 0.500
Np 0.000 0.000 0.500
S 0.061 0.376 0.723
S 0.230 0.230 0.275
S 0.376 0.061 0.723
S 0.624 0.939 0.277
S 0.770 0.770 0.725
S 0.939 0.624 0.277


# 2
! CaIO2F | the Alexandria database | PBE | relaxed; values from VASP
! Crystal system ... tetragonal
! Formation energy (no corrections) ... -0.373 eV/atom
&SYSTEM
  ibrav = 0, nat = 5, ntyp = 4
/
ATOMIC_SPECIES
Ca 40.08 Ca.upf
I 126.90 I.upf
O 16.00 O.upf
F 19.00 F.upf
CELL_PARAMETERS angstrom
4.653 0.000 0.000
0.000 4.653 0.000
0.000 0.000 4.149
ATOMIC_POSITIONS crystal
Ca 0.000 0.000 0.000
I 0.500 0.500 0.000
O 0.000 0.500 0.500
O 0.500 0.000 0.500
F 0.500 0.500 0.500


# 3
! ZnCuRh2 | the Alexandria database | PBE | relaxed; values from VASP
! Crystal system ... orthorhombic
! Formation energy ... -78 meV/atom
&SYSTEM
  ibrav = 0, nat = 4, ntyp = 3
/
ATOMIC_SPECIES
Zn 65.41 Zn.upf
Cu 63.55 Cu.upf
Rh 102.91 Rh.upf
CELL_PARAMETERS angstrom
-1.441 2.176 4.348
1.441 -2.176 4.348
1.441 2.176 -4.348
ATOMIC_POSITIONS crystal
Zn 0.000 0.000 0.000
Cu 0.237 0.737 0.500
Rh 0.491 0.491 0.000
Rh 0.747 0.247 0.500


# 4
! BaSr2InPd | the Alexandria database | PBE | relaxed; values from VASP
! Excess energy over the best structure of this formula in the dataset ... 20 kJ/mol of formula units
! Crystal system ... tetragonal
! Formation energy ... -297 meV/atom
&SYSTEM
  ibrav = 0, nat = 5, ntyp = 4
/
ATOMIC_SPECIES
Ba 137.33 Ba.upf
Sr 87.62 Sr.upf
In 114.82 In.upf
Pd 106.42 Pd.upf
CELL_PARAMETERS angstrom
5.898 0.000 0.000
0.000 5.898 0.000
0.000 0.000 6.097
ATOMIC_POSITIONS crystal
Ba 0.000 0.000 0.000
Sr 0.000 0.500 0.500
Sr 0.500 0.000 0.500
In 0.500 0.500 0.000
Pd 0.000 0.000 0.500


# 5
! CaNiSn6 | the Alexandria database | PBE | relaxed; values from VASP
! Crystal system ... orthorhombic
! Formation energy ... -158 meV/atom
&SYSTEM
  ibrav = 0, nat = 8, ntyp = 3
/
ATOMIC_SPECIES
Ca 40.08 Ca.upf
Ni 58.69 Ni.upf
Sn 118.71 Sn.upf
CELL_PARAMETERS angstrom
4.310 0.000 0.000
0.000 4.505 5.303
0.000 -4.505 5.303
ATOMIC_POSITIONS crystal
Ca 0.000 0.000 0.000
Ni 0.000 0.619 0.619
Sn 0.000 0.006 0.495
Sn 0.000 0.495 0.006
Sn 0.500 0.240 0.240
Sn 0.500 0.330 0.681
Sn 0.500 0.681 0.330
Sn 0.500 0.773 0.773


# 6
! TiZnP2O7 | the Alexandria database | PBE | relaxed; values from VASP
! Excess energy over the best structure of this formula in the dataset ... 0 kJ/mol of formula units
! Crystal system ... triclinic
! Formation energy (no corrections) ... -2.055 eV/atom
&SYSTEM
  ibrav = 0, nat = 22, ntyp = 4
/
ATOMIC_SPECIES
Ti 47.87 Ti.upf
Zn 65.41 Zn.upf
P 30.97 P.upf
O 16.00 O.upf
CELL_PARAMETERS angstrom
6.513 0.000 0.000
0.780 6.575 0.000
2.668 0.528 6.261
ATOMIC_POSITIONS crystal
Ti 0.092 0.126 0.299
Ti 0.908 0.874 0.701
Zn 0.271 0.482 0.710
Zn 0.729 0.518 0.290
P 0.219 0.625 0.261
P 0.350 0.894 0.851
P 0.650 0.106 0.149
P 0.781 0.375 0.739
O 0.058 0.807 0.371
O 0.082 0.457 0.243
O 0.213 0.805 0.745
O 0.229 0.079 0.974
O 0.373 0.708 0.028
O 0.381 0.540 0.372
O 0.410 0.082 0.300
O 0.590 0.918 0.700
O 0.619 0.460 0.628
O 0.627 0.292 0.972
O 0.771 0.921 0.026
O 0.787 0.195 0.255
O 0.918 0.543 0.757
O 0.942 0.193 0.629


# 7
! K2P2Cl | the Alexandria database | PBE | relaxed; values from VASP
! Excess energy over the best structure of this formula in the dataset ... 0 kJ/mol of formula units
! Crystal system ... tetragonal
! Formation energy (no corrections) ... -0.764 eV/atom
&SYSTEM
  ibrav = 0, nat = 5, ntyp = 3
/
ATOMIC_SPECIES
K 39.10 K.upf
P 30.97 P.upf
Cl 35.45 Cl.upf
CELL_PARAMETERS angstrom
-1.788 1.788 9.414
1.788 -1.788 9.414
1.788 1.788 -9.414
ATOMIC_POSITIONS crystal
K 0.102 0.102 0.000
K 0.898 0.898 0.000
P 0.250 0.750 0.500
P 0.750 0.250 0.500
Cl 0.500 0.500 0.000


# 8
! ReRuSN2 | the Alexandria database | PBE | relaxed; values from VASP
! Excess energy over the best structure of this formula in the dataset ... 0 kJ/mol of formula units
! Crystal system ... tetragonal
! Formation energy (no corrections) ... 0.926 eV/atom
&SYSTEM
  ibrav = 0, nat = 5, ntyp = 4
/
ATOMIC_SPECIES
Re 186.21 Re.upf
Ru 101.07 Ru.upf
S 32.06 S.upf
N 14.01 N.upf
CELL_PARAMETERS angstrom
3.787 0.000 0.000
0.000 3.787 0.000
0.000 0.000 5.155
ATOMIC_POSITIONS crystal
Re 0.000 0.000 0.000
Ru 0.500 0.500 0.500
S 0.000 0.000 0.500
N 0.000 0.500 0.000
N 0.500 0.000 0.000